4
Lattice="-4.149 0.155 1.420 -0.976 -1.313 4.071 -1.172 2.946 3.034" Properties=species:S:1:pos:R:3 comment="Cr2InAs | the Alexandria database | SCAN | PBEsol geometry" relative_energy_ev_per_atom=0.244 e_form_ev_per_atom=0.36 spacegroup="Fm-3m, No. 225" crystal_system=cubic mass_density_g_cm3=8.17 pbc="T T T"
Cr -4.722 1.341 6.394
Cr -1.574 0.447 2.131
As 0.000 0.000 0.000
In -3.148 0.894 4.263

3
Lattice="2.852 0.000 0.000 0.000 3.556 0.000 0.000 0.000 3.556" Properties=species:S:1:pos:R:3 comment="CrCo2 | the Alexandria database | SCAN | PBEsol geometry" e_form_ev_per_atom=0.94 spacegroup="P4/mmm, No. 123" crystal_system=tetragonal mass_density_g_cm3=7.82 pbc="T T T"
Co 1.426 1.778 0.000
Co 1.426 0.000 1.778
Cr 0.000 0.000 0.000

14
Lattice="5.792 0.000 0.000 2.896 5.016 0.000 2.896 1.672 4.904" Properties=species:S:1:pos:R:3 comment="Li2Ni3TeO8 | the Alexandria database | SCAN | PBEsol geometry" relative_energy_ev_per_atom=0.004 formation_energy_uncorrected_ev_per_atom=-1.5063 spacegroup="R-3m, No. 166" crystal_system=trigonal mass_density_g_cm3=5.19 pbc="T T T"
O 7.124 4.113 1.248
O 2.896 1.672 0.880
O 8.687 5.016 4.024
O 4.459 2.574 3.656
O 5.792 1.805 1.248
O 5.792 4.883 3.656
O 4.459 4.113 1.248
O 7.124 2.574 3.656
Ni 4.344 2.508 0.000
Ni 2.896 0.000 0.000
Ni 1.448 2.508 0.000
Li 8.687 5.016 1.995
Li 2.896 1.672 2.909
Te 5.792 3.344 2.452

20
Lattice="5.031 0.005 -0.006 -0.997 4.973 0.002 -1.580 -2.786 6.941" Properties=species:S:1:pos:R:3 comment="Li4MoO5 | the Alexandria database | SCAN | PBEsol geometry" relative_energy_ev_per_atom=0.000 formation_energy_uncorrected_ev_per_atom=-2.3063 spacegroup="P-1, No. 2" crystal_system=triclinic mass_density_g_cm3=3.90 pbc="T T T"
Mo 2.497 1.672 5.423
Mo -0.043 0.520 1.514
O -0.221 3.970 0.287
O 1.506 1.514 1.073
O 3.503 -0.631 1.715
O 0.948 0.678 5.864
O 1.645 2.442 3.973
O 2.675 -1.778 6.650
O -0.854 1.912 2.348
O 0.809 -0.249 2.964
O 3.308 0.280 4.588
O -1.049 2.823 5.221
Li 2.516 0.002 -0.003
Li 1.603 -1.003 4.873
Li 2.474 0.841 2.700
Li -0.020 1.352 4.237
Li -0.790 -1.393 3.471
Li 3.189 2.706 0.664
Li 0.851 3.195 2.064
Li -0.735 -0.514 6.273

4
Lattice="-1.032 -1.459 2.124 0.875 -2.348 -1.192 6.770 0.633 3.724" Properties=species:S:1:pos:R:3 comment="Fe2AgHg | the Alexandria database | SCAN | PBEsol geometry" e_form_ev_per_atom=0.36 spacegroup="P4/mmm, No. 123" crystal_system=tetragonal mass_density_g_cm3=11.68 pbc="T T T"
Fe 1.634 0.153 0.899
Fe 5.136 0.480 2.825
Hg 3.307 -1.587 2.328
Ag -0.078 -1.903 0.466

3
Lattice="2.602 0.000 0.000 0.000 3.634 0.000 0.000 0.000 3.634" Properties=species:S:1:pos:R:3 comment="Rh2C | the Alexandria database | SCAN | PBEsol geometry" relative_energy_ev_per_atom=0.607 e_form_ev_per_atom=0.75 spacegroup="P4/mmm, No. 123" crystal_system=tetragonal mass_density_g_cm3=10.53 pbc="T T T"
C 1.301 0.000 0.000
Rh 0.000 1.817 0.000
Rh 0.000 0.000 1.817

28
Lattice="-4.531 -6.137 0.847 8.531 -1.416 0.603 -1.651 2.624 10.178" Properties=species:S:1:pos:R:3 comment="Sm3Si2S8I | the Alexandria database | SCAN | PBEsol geometry" formation_energy_uncorrected_ev_per_atom=-1.6400 spacegroup="C2/c, No. 15" crystal_system=monoclinic mass_density_g_cm3=4.71 pbc="T T T"
Sm -3.964 -1.724 8.143
Sm -2.218 -1.788 2.882
Sm 0.821 -0.756 7.451
Sm 1.528 -4.172 4.177
Sm -0.410 -4.367 9.474
Sm 2.759 -0.561 2.154
S 5.004 -0.725 4.092
S 1.692 -1.278 4.717
S -1.620 -1.263 5.935
S 0.657 -3.651 6.911
S 0.840 -5.832 1.942
S -2.230 -4.520 1.114
S 1.508 0.903 9.686
S 0.440 -2.441 2.022
S -1.413 -4.143 4.203
S 3.761 -0.785 7.425
S -1.325 -1.595 9.121
S 4.579 -0.408 10.514
S 1.909 -2.487 9.606
S -2.655 -4.203 7.536
S 3.968 -3.665 5.693
S 3.674 -3.333 2.507
I -4.875 -5.387 3.379
I -1.307 1.875 7.646
Si 3.658 -1.586 5.471
Si -1.309 -3.342 6.157
Si 2.493 -0.733 10.623
Si -0.144 -4.195 1.005

44
Lattice="-1.780 -7.900 7.190 7.212 4.489 6.717 -7.647 5.718 4.389" Properties=species:S:1:pos:R:3 comment="HfSe4Cl6 | the Alexandria database | SCAN | PBEsol geometry" formation_energy_uncorrected_ev_per_atom=-1.0378 spacegroup="P4_2/ncm, No. 138" crystal_system=tetragonal mass_density_g_cm3=3.81 pbc="T T T"
Cl -0.228 2.915 5.021
Cl 2.140 -2.273 9.353
Cl 0.447 0.842 2.345
Cl -2.580 4.912 11.604
Cl -5.112 -0.719 7.975
Cl 2.184 0.015 13.703
Cl -1.555 0.311 6.803
Cl -4.871 -2.931 10.575
Cl -0.550 7.708 11.497
Cl -7.694 -0.894 10.259
Cl -5.664 1.902 10.152
Cl -0.993 3.651 8.757
Cl 3.366 -3.043 12.492
Cl -5.423 -0.310 12.752
Cl 1.673 0.072 5.484
Cl -2.841 -0.135 10.468
Cl 0.058 -2.138 12.102
Cl -2.394 6.805 8.759
Cl -2.781 1.081 3.664
Cl 1.037 6.448 8.650
Cl 4.266 -0.121 10.954
Cl 0.958 0.785 10.564
Cl -0.879 -1.762 4.128
Cl 0.851 4.554 11.495
Se -0.486 -2.054 8.119
Se 2.937 2.967 9.574
Se -1.876 0.121 13.411
Se 4.010 4.140 7.882
Se 2.094 1.502 7.983
Se -5.827 2.751 7.167
Se -0.324 -4.151 9.102
Se -2.240 2.093 12.241
Se -1.083 1.367 15.203
Se -2.927 4.120 6.370
Se -4.956 3.799 5.287
Se -3.799 3.072 8.250
Se 3.167 2.675 6.291
Se -2.402 -4.693 8.220
Se -1.447 3.338 14.033
Se -2.564 -2.596 7.237
Hf -0.554 0.577 4.574
Hf -0.771 5.680 10.127
Hf -5.267 -0.515 10.364
Hf 2.162 -1.129 11.528

32
Lattice="6.163 0.001 0.000 -2.080 5.802 0.000 0.000 0.000 10.097" Properties=species:S:1:pos:R:3 comment="ScCoNi6 | the Alexandria database | SCAN | PBEsol geometry" e_form_ev_per_atom=-0.16 spacegroup="Cmmm, No. 65" crystal_system=orthorhombic mass_density_g_cm3=8.39 pbc="T T T"
Ni 4.058 1.482 2.415
Ni 0.025 4.320 2.415
Ni 2.118 0.760 1.203
Ni 2.074 0.803 3.716
Ni 0.000 2.250 8.894
Ni 0.000 0.000 5.048
Ni 1.966 5.043 1.203
Ni 0.056 2.224 3.716
Ni 0.000 0.000 0.000
Ni 4.058 1.482 7.682
Ni 2.118 0.760 8.894
Ni 2.009 5.000 6.381
Ni 2.042 2.901 0.000
Ni 0.056 2.224 6.381
Ni 4.028 3.579 3.716
Ni 1.966 5.043 8.894
Ni 2.009 5.000 3.716
Ni 2.074 0.803 6.381
Ni 4.028 3.579 6.381
Ni 4.083 3.553 8.894
Ni 0.000 2.250 1.203
Ni 0.025 4.320 7.682
Ni 4.083 3.553 1.203
Ni 2.042 2.901 5.048
Sc 0.000 0.000 2.508
Sc 4.143 1.422 5.048
Sc 0.000 0.000 7.589
Sc -0.060 4.380 5.048
Co -0.105 4.412 0.000
Co 4.189 1.390 0.000
Co 2.042 2.901 2.481
Co 2.042 2.901 7.616

5
Lattice="-1.602 -1.543 -2.893 4.271 -1.057 -1.801 -0.076 -4.177 2.270" Properties=species:S:1:pos:R:3 comment="Ti2BAsS | the Alexandria database | SCAN | PBEsol geometry" formation_energy_uncorrected_ev_per_atom=0.4501 spacegroup="P4/mmm, No. 123" crystal_system=tetragonal mass_density_g_cm3=4.30 pbc="T T T"
S 1.296 -3.388 -1.212
Ti -0.038 -2.088 1.135
Ti 2.135 -0.528 -0.901
As 0.000 0.000 0.000
B -0.801 -0.771 -1.446

29
Lattice="-1.062 5.393 -8.594 -4.428 -9.119 -1.140 -4.430 4.991 7.716" Properties=species:S:1:pos:R:3 comment="Tl24As5 | the Alexandria database | SCAN | PBEsol geometry" e_form_ev_per_atom=0.08 spacegroup="I-43m, No. 217" crystal_system=cubic mass_density_g_cm3=10.73 pbc="T T T"
As 0.000 0.000 0.000
As -1.095 -2.255 -0.282
As -1.095 1.234 1.908
As -0.263 1.334 -2.125
As -7.467 0.952 -1.519
Tl -5.535 2.042 1.476
Tl -3.607 -1.297 -7.659
Tl -1.950 0.357 -5.301
Tl -2.917 2.223 -0.548
Tl -4.518 2.164 -3.449
Tl -2.917 -0.474 -2.240
Tl -3.561 -0.551 0.877
Tl -4.241 -4.029 -6.255
Tl -3.892 -3.753 1.673
Tl -4.644 -5.418 -1.093
Tl -3.608 7.460 -2.163
Tl -1.950 4.618 -2.627
Tl -2.876 4.508 1.856
Tl -3.893 0.125 4.107
Tl -2.875 -3.632 -3.253
Tl -5.049 -1.229 -4.673
Tl -5.050 4.742 -0.926
Tl -2.555 3.589 -5.719
Tl -6.475 -1.399 2.228
Tl -4.645 3.339 4.403
Tl -4.242 7.384 0.908
Tl -6.331 -1.622 5.534
Tl -6.331 -4.279 3.867
Tl -5.535 -2.219 -1.198

5
Lattice="-1.954 2.283 -3.579 3.339 -1.607 -2.847 -2.622 -3.747 -0.959" Properties=species:S:1:pos:R:3 comment="Ta3AlCd | the Alexandria database | SCAN | PBEsol geometry" e_form_ev_per_atom=1.27 spacegroup="Pm-3m, No. 221" crystal_system=cubic mass_density_g_cm3=11.10 pbc="T T T"
Ta -0.977 1.142 -1.789
Ta -1.311 -1.874 -0.480
Ta 1.669 -0.803 -1.424
Al 0.000 0.000 0.000
Cd -0.618 -1.535 -3.693